Entry 1:
DFT (PBE) results for a geometry-optimized SrErAgPd structure.

a b c (Å): 5.182 5.182 5.182
angles (deg): 60.00 60.00 60.00
Element x y z (fractional)
Sr 0.000 0.000 0.000
Er 0.500 0.500 0.500
Ag 0.250 0.250 0.250
Pd 0.750 0.750 0.750

Summary:
ΔE_f	-0.4160	eV per atom
DOS at the Fermi energy	2.030	states/eV/f.u.

=====

Entry 2:
DFT (PBE) results for a geometry-optimized La5Pr2Ho6 structure.

a b c (Å): 11.782 21.048 3.635
angles (deg): 90.00 90.00 90.00
Element x y z (fractional)
La 0.000 0.000 0.000
La 0.060 0.290 0.000
La 0.197 0.568 0.000
La 0.303 0.068 0.000
La 0.440 0.790 0.000
La 0.500 0.500 0.000
La 0.560 0.210 0.000
La 0.697 0.932 0.000
La 0.803 0.432 0.000
La 0.940 0.710 0.000
Pr 0.197 0.731 0.500
Pr 0.303 0.231 0.500
Pr 0.697 0.769 0.500
Pr 0.803 0.269 0.500
Ho 0.059 0.143 0.500
Ho 0.074 0.434 0.500
Ho 0.192 0.877 0.000
Ho 0.308 0.377 0.000
Ho 0.426 0.934 0.500
Ho 0.441 0.643 0.500
Ho 0.559 0.357 0.500
Ho 0.574 0.066 0.500
Ho 0.692 0.623 0.000
Ho 0.808 0.123 0.000
Ho 0.926 0.566 0.500
Ho 0.941 0.857 0.500

Summary:
ΔE_f	0.0916	eV per atom
DOS at the Fermi energy	18.230	states/eV/f.u.

=====

Entry 3:
DFT (PBE) results for a geometry-optimized K2PrErSe4 structure.

a b c (Å): 7.421 4.283 8.086
angles (deg): 90.00 107.80 90.00
Element x y z (fractional)
K 0.000 0.000 0.000
K 0.500 0.500 0.000
Pr 0.000 0.500 0.500
Er 0.500 0.000 0.500
Se 0.247 0.000 0.710
Se 0.275 0.500 0.295
Se 0.725 0.500 0.705
Se 0.753 0.000 0.290

Summary:
E_form (uncorrected)	-1746.1	meV per atom
DOS at the Fermi energy	0.000	states/eV/f.u.

=====

Entry 4:
DFT (PBE) results for a geometry-optimized Cs4KRb2Hg structure.

a b c (Å): 7.771 6.034 14.688
angles (deg): 90.00 90.82 90.00
Element x y z (fractional)
Cs 0.002 0.000 0.186
Cs 0.498 0.500 0.763
Cs 0.502 0.500 0.237
Cs 0.998 0.000 0.814
K 0.500 0.000 0.000
Rb 0.000 0.500 0.500
Rb 0.500 0.000 0.500
Hg 0.000 0.500 0.000

Summary:
ΔE_f	-0.0216	eV per atom
DOS at the Fermi energy	6.672	states/eV/f.u.

=====

Entry 5:
DFT (PBE) results for a geometry-optimized Tb3Dy4Er2 structure.

a b c (Å): 9.924 9.924 6.069
angles (deg): 94.96 94.96 70.72
Element x y z (fractional)
Tb 0.097 0.903 0.750
Tb 0.236 0.430 0.920
Tb 0.430 0.236 0.420
Tb 0.570 0.764 0.580
Tb 0.764 0.570 0.080
Tb 0.903 0.097 0.250
Dy 0.071 0.354 0.347
Dy 0.313 0.595 0.487
Dy 0.354 0.071 0.847
Dy 0.405 0.687 0.013
Dy 0.595 0.313 0.987
Dy 0.646 0.929 0.153
Dy 0.687 0.405 0.513
Dy 0.929 0.646 0.653
Er 0.021 0.740 0.182
Er 0.260 0.979 0.318
Er 0.740 0.021 0.682
Er 0.979 0.260 0.818

Summary:
ΔE_f	0.1007	eV per atom
DOS at the Fermi energy	13.091	states/eV/f.u.

=====

Entry 6:
DFT (PBE) results for a geometry-optimized K2BaBBr structure.

a b c (Å): 5.502 5.502 8.406
angles (deg): 90.00 90.00 90.00
Element x y z (fractional)
K 0.000 0.500 0.000
K 0.500 0.000 0.000
Ba 0.000 0.000 0.500
B 0.500 0.500 0.000
Br 0.500 0.500 0.500

Summary:
E_form (uncorrected)	494.2	meV per atom
DOS at the Fermi energy	3.453	states/eV/f.u.